1.
VASP calculation (GGA-PBE) on an optimized crystal structure of BeCo2Hg.

Results
Relative energy among the computed polymorphs ... 16.2 kJ/mol of atoms
Magnetization ... 2.69 μB per formula unit
Energy relative to the elements ... 0.3595 eV/atom

```
BeCo2Hg
1.0
4.403 0.035 0.000
1.046 4.277 0.000
-2.725 -2.156 2.705
Be Co Hg
1 2 1
Cartesian
2.202 0.017 1.352
0.000 0.000 0.000
0.523 2.139 1.352
2.725 2.156 0.000
```

2.
VASP calculation (GGA-PBE) on an optimized crystal structure of Be2CoHg.

Results
Magnetization ... 0.00 μB per formula unit
Energy relative to the elements ... 0.2009 eV/atom

```
Be2CoHg
1.0
-0.312 0.299 2.818
-2.195 -1.819 -0.050
3.702 -4.493 0.887
Be Co Hg
2 1 1
Cartesian
0.219 -0.266 0.052
-0.290 -1.929 1.615
1.560 -1.894 0.374
1.557 -4.171 2.057
```